VASP calculation (PBE+U) on Li3MoP2O8 after structural relaxation.

Cell lengths 8.4441, 5.5740, 6.2623 Å; angles 90.00, 90.16, 90.00 degrees
Closest atoms and distances in Å follow each position.
Space group C2/m (No. 12)
Asymmetric unit:
Li1 0.0000 0.0000 0.0000  6 O 2.10-2.25
Li2 0.1664 0.5000 0.7810  4 O 1.96-2.11
Mo1 0.0000 0.0000 0.5000  6 O 2.16-2.18
P1 0.1490 0.5000 0.2625  4 O 1.52-1.58
O1 0.0338 0.2767 0.2587  1 P 1.58
O2 0.2428 0.0000 0.9305  1 P 1.52
O3 0.2454 0.5000 0.4745  1 P 1.56

The offset from the most stable computed form is 0.0000 eV per atom. For the magnetization, the calculation gives 3.00 μB/f.u.